[1]
La4Pm4Ho | PBE | relaxed

Summary:
Total magnetization, Bohr magnetons per cell: 0.00
Fermi-level density of states, states/eV/f.u.: 14.8
Formation energy, eV per atom: 0.019

a b c (Å): 11.0020 11.0020 5.2251
angles (deg): 90.00 90.00 90.00
Space group I4/mmm (No. 139)
Symmetry-distinct sites (fractional):
La 0.1662 0.1662 0.0000 (multiplicity 8)
Pm 0.0000 0.3336 0.5000 (multiplicity 8)
Ho 0.0000 0.0000 0.5000 (multiplicity 2)

[2]
LaPmHo5 | PBE | relaxed

Summary:
Total magnetization, Bohr magnetons per cell: 0.04
Fermi-level density of states, states/eV/f.u.: 10.8
Formation energy, eV per atom: 1.100

a b c (Å): 5.7672 8.6371 11.8239
angles (deg): 90.00 90.00 90.00
Space group Immm (No. 71)
Symmetry-distinct sites (fractional):
La 0.0000 0.0000 0.0000 (multiplicity 2)
Pm 0.0000 0.0000 0.5000 (multiplicity 2)
Ho 0.0000 0.0000 0.2532 (multiplicity 4)
Ho 0.0000 0.3204 0.5000 (multiplicity 4)
Ho 0.0000 0.5000 0.0000 (multiplicity 2)

[3]
La2Pm5Ho5 | PBE | relaxed

Summary:
Total magnetization, Bohr magnetons per cell: 0.00
Fermi-level density of states, states/eV/f.u.: 18.8
Formation energy, eV per atom: 0.023

a b c (Å): 15.3951 5.0973 11.4539
angles (deg): 90.00 116.68 90.00
Space group C2/m (No. 12)
Symmetry-distinct sites (fractional):
La 0.0824 0.0000 0.2508 (multiplicity 4)
Pm 0.0000 0.0000 0.5000 (multiplicity 2)
Pm 0.1663 0.0000 0.9998 (multiplicity 4)
Pm 0.2472 0.0000 0.7474 (multiplicity 4)
Ho 0.0000 0.5000 0.0000 (multiplicity 2)
Ho 0.0842 0.5000 0.7495 (multiplicity 4)
Ho 0.1667 0.5000 0.5011 (multiplicity 4)

[4]
LaPm4Ho8 | PBE | relaxed

Summary:
Total magnetization, Bohr magnetons per cell: 0.00
Fermi-level density of states, states/eV/f.u.: 16.0
Formation energy, eV per atom: 0.184

a b c (Å): 7.3785 7.3785 27.0460
angles (deg): 90.00 90.00 120.00
Space group R-3m (No. 166, hexagonal axes)
Symmetry-distinct sites (fractional):
La 0.0000 0.0000 0.0000 (multiplicity 3)
Pm 0.0000 0.0000 0.5000 (multiplicity 3)
Pm 0.0000 0.5000 0.5000 (multiplicity 9)
Ho 0.0000 0.0000 0.2810 (multiplicity 6)
Ho 0.0393 0.5196 0.2703 (multiplicity 18)

[5]
La5Pm12Ho2 | PBE | relaxed

Summary:
Total magnetization, Bohr magnetons per cell: 0.00
Fermi-level density of states, states/eV/f.u.: 30.1
Formation energy, eV per atom: 0.097

a b c (Å): 18.2233 11.9047 6.2898
angles (deg): 90.00 102.99 90.00
Space group C2/m (No. 12)
Symmetry-distinct sites (fractional):
La 0.0000 0.0000 0.0000 (multiplicity 2)
La 0.1746 0.5000 0.3522 (multiplicity 4)
La 0.2141 0.0000 0.0535 (multiplicity 4)
Pm 0.0513 0.5000 0.7738 (multiplicity 4)
Pm 0.1017 0.2556 0.1173 (multiplicity 8)
Pm 0.1212 0.0000 0.4965 (multiplicity 4)
Pm 0.1970 0.2537 0.6991 (multiplicity 8)
Ho 0.0000 0.2272 0.5000 (multiplicity 4)

[6]
LaPm2Ho6 | PBE | relaxed

Summary:
Total magnetization, Bohr magnetons per cell: 0.00
Fermi-level density of states, states/eV/f.u.: 14.3
Formation energy, eV per atom: 0.104

a b c (Å): 16.6870 10.3353 3.4857
angles (deg): 90.00 101.98 90.00
Space group C2/m (No. 12)
Symmetry-distinct sites (fractional):
La 0.0000 0.0000 0.0000 (multiplicity 2)
Pm 0.1580 0.5000 0.1573 (multiplicity 4)
Ho 0.0000 0.3177 0.5000 (multiplicity 4)
Ho 0.1780 0.1679 0.1793 (multiplicity 8)

[7]
La2Pm4Ho | PBE | relaxed

Summary:
Total magnetization, Bohr magnetons per cell: 0.00
Fermi-level density of states, states/eV/f.u.: 10.7
Formation energy, eV per atom: 0.212

a b c (Å): 6.8894 11.6624 12.3851
angles (deg): 90.00 90.00 90.00
Space group Imma (No. 74)
Symmetry-distinct sites (fractional):
La 0.0000 0.0000 0.0000 (multiplicity 4)
La 0.0000 0.2500 0.2225 (multiplicity 4)
Pm 0.0000 0.0093 0.6419 (multiplicity 8)
Pm 0.2233 0.2500 0.4906 (multiplicity 8)
Ho 0.2500 0.2500 0.7500 (multiplicity 4)

[8]
LaPm9Ho2 | PBE | relaxed

Summary:
Total magnetization, Bohr magnetons per cell: 0.00
Fermi-level density of states, states/eV/f.u.: 19.9
Formation energy, eV per atom: 0.019

a b c (Å): 5.1416 5.1416 15.4557
angles (deg): 90.00 90.00 90.00
Space group P4/mmm (No. 123)
Symmetry-distinct sites (fractional):
La 0.0000 0.0000 0.0000 (multiplicity 1)
Pm 0.0000 0.5000 0.1702 (multiplicity 4)
Pm 0.0000 0.5000 0.5000 (multiplicity 2)
Pm 0.5000 0.5000 0.0000 (multiplicity 1)
Pm 0.5000 0.5000 0.3362 (multiplicity 2)
Ho 0.0000 0.0000 0.3347 (multiplicity 2)

no.,volume (Å³/cell),raw total energy (eV per atom)
1,632.5,-4.791
2,589.0,-3.553
3,803.1,-4.685
4,1275.2,-4.474
5,1329.6,-4.682
6,588.1,-4.551
7,995.1,-4.565
8,408.6,-4.717